DFT (PBE) results for Ce12PuBi6 after structural relaxation.

a b c (Å): 9.0351 9.0351 9.0351
angles (deg): 109.56 109.56 109.56
With the nearest neighbours (Å) after each atom.
Atoms (fractional coordinates):
Ce1 0.4155 0.1577 0.6285  2 Ce 2.70-2.76
Ce2 0.1577 0.6285 0.4155  2 Ce 2.70-2.76
Ce3 0.6285 0.4155 0.1577  2 Ce 2.70-2.76
Ce4 0.5845 0.8423 0.3715  2 Ce 2.70-2.76
Ce5 0.8423 0.3715 0.5845  2 Ce 2.70-2.76
Ce6 0.3715 0.5845 0.8423  2 Ce 2.70-2.76
Ce7 0.3387 0.0820 0.8675  2 Ce 2.70-2.76
Ce8 0.1325 0.6613 0.9180  2 Ce 2.70-2.76
Ce9 0.9180 0.1325 0.6613  2 Ce 2.70-2.76
Ce10 0.6613 0.9180 0.1325  2 Ce 2.70-2.76
Ce11 0.8675 0.3387 0.0820  2 Ce 2.70-2.76
Ce12 0.0820 0.8675 0.3387  2 Ce 2.70-2.76
Pu1 0.0000 0.0000 0.0000  6 Bi 3.34, 6 Ce 3.59
Bi1 0.0882 0.2525 0.4192  8 Ce 3.26-3.52, 1 Pu 3.34
Bi2 0.7475 0.5808 0.9118  8 Ce 3.26-3.52, 1 Pu 3.34
Bi3 0.5808 0.9118 0.7475  8 Ce 3.26-3.52, 1 Pu 3.34
Bi4 0.9118 0.7475 0.5808  8 Ce 3.26-3.52, 1 Pu 3.34
Bi5 0.2525 0.4192 0.0882  8 Ce 3.26-3.52, 1 Pu 3.34
Bi6 0.4192 0.0882 0.2525  8 Ce 3.26-3.52, 1 Pu 3.34

Calculated volume: 29.78 Å³ per atom
E_tot: -6.160 eV/atom
Space-group type: No. 148

---

DFT (PBE) results for HgSb2TePb after structural relaxation.

a b c (Å): 5.8926 5.8926 5.9137
angles (deg): 90.00 90.00 90.00
With the nearest neighbours (Å) after each atom.
Atoms (fractional coordinates):
Pb1 0.0000 0.0000 0.0000  4 Sb 2.95, 2 Te 2.96
Sb1 0.0000 0.5000 0.0000  2 Pb 2.95
Sb2 0.5000 0.0000 0.0000  2 Pb 2.95
Te1 0.0000 0.0000 0.5000  2 Pb 2.96
Hg1 0.5000 0.5000 0.5000  4 Te 4.17, 8 Sb 4.17

Raw formation energy: 0.742 eV/atom
Calculated volume: 41.07 Å³ per atom
E_tot: -2.338 eV/atom
Space-group type: No. 123
Energy above the lowest structure with this stoichiometry: 0.87 eV per formula unit